Record 1
A relaxed structure of TiGaSeN2, computed with PBEsol.

CIF file:
```
data_TiGaSeN2
_chemical_formula_sum 'Ti1 Ga1 Se1 N2'
_space_group_name_H-M_alt 'P 1'
_space_group_IT_number 1
_cell_length_a 3.767
_cell_length_b 3.767
_cell_length_c 5.109
_cell_angle_alpha 90.00
_cell_angle_beta 90.00
_cell_angle_gamma 90.00
loop_
_space_group_symop_operation_xyz
'x,y,z'
loop_
_atom_site_label
_atom_site_fract_x
_atom_site_fract_y
_atom_site_fract_z
Ti1 0.500 0.500 0.500
Ga1 0.000 0.000 0.000
Se1 0.000 0.000 0.500
N1 0.000 0.500 0.000
N2 0.500 0.000 0.000
```

Output
raw formation energy	3.65	eV per formula unit
space group	P4/mmm, No. 123

=====

Record 2
A relaxed structure of YGaSeN2, computed with PBEsol.

CIF file:
```
data_YGaSeN2
_chemical_formula_sum 'Y1 Ga1 Se1 N2'
_space_group_name_H-M_alt 'P 1'
_space_group_IT_number 1
_cell_length_a 3.922
_cell_length_b 3.922
_cell_length_c 5.072
_cell_angle_alpha 90.00
_cell_angle_beta 90.00
_cell_angle_gamma 90.00
loop_
_space_group_symop_operation_xyz
'x,y,z'
loop_
_atom_site_label
_atom_site_fract_x
_atom_site_fract_y
_atom_site_fract_z
N1 0.500 0.000 0.000
N2 0.000 0.500 0.000
Se1 0.000 0.000 0.500
Y1 0.500 0.500 0.500
Ga1 0.000 0.000 0.000
```

Output
raw formation energy	0.43	eV per formula unit
space group	P4/mmm, No. 123

=====

no.,D(E_F) (states/eV/cell)
1,3.0
2,3.5